Material: MnCoPCl2
Method: DFT, PBE
State: relaxed

Computed properties:
Energy relative to the elements, uncorrected   281 meV/atom
E above lowest polymorph   0.0000 eV/atom
Volume   94.7 Å³/f.u.

Lattice parameters (Å, degrees): 4.6036 4.6036 4.4671 90.00 90.00 90.00
Space group P4/mmm (No. 123)
Inequivalent atoms, fractional coordinates:
Mn 0.0000 0.0000 0.0000
Co 0.5000 0.5000 0.5000
P 0.5000 0.5000 0.0000
Cl 0.0000 0.5000 0.5000